First-principles (PBE-GGA) data for crystalline BeTl2Pt at its relaxed geometry, as listed in Alexandria via LeMat-Bulk.

Cell: 4.6735 4.6735 3.9109 Å, 100.23 100.23 77.27°
With the nearest neighbours (Å) after each atom.
Fractional positions:
1 Be 0.0000 0.0000 0.0000  4 Tl 2.77, 2 Pt 2.92
2 Tl 0.0000 0.5000 0.5000  2 Be 2.77, 2 Pt 2.77, 2 Tl 2.92
3 Tl 0.5000 0.0000 0.5000  2 Be 2.77, 2 Pt 2.77, 2 Tl 2.92
4 Pt 0.5000 0.5000 0.0000  4 Tl 2.77, 2 Be 2.92

Properties
Energy relative to the elements ... 448.0 meV/atom
E ... -3.177 eV/atom
Calculated density ... 12.54 Mg/m³